PBE-GGA SrTePt, relaxed; offset from the most stable computed form = 15 meV/atom; total DFT energy (no corrections) = -4.705 eV/atom; energy relative to the elements, uncorrected = -24.995 kcal/mol of atoms
1.0
6.309 -0.018 -0.003
3.798 5.038 -0.003
3.812 1.893 5.467
Te Pt Sr
2 2 2
Cartesian
3.797 2.853 3.154
10.209 6.037 5.095
8.252 3.490 1.389
3.198 0.980 1.392
7.003 4.445 4.124
6.352 0.971 1.391